RbCr2CuIr at its PBEsol-relaxed geometry. Source: Alexandria, functional SCAN.

a = 4.687 Å, b = 4.687 Å, c = 6.055 Å
α = 90.00°, β = 90.00°, γ = 90.00°
Element x y z (fractional)
Rb 0.000 0.000 0.000
Cr 0.000 0.500 0.500
Cr 0.500 0.000 0.500
Cu 0.500 0.500 0.000
Ir 0.000 0.000 0.500

Summary:
The value obtained for the formation energy is 1187 meV/atom.